Entry 1:
Tm2Ga5Ag3 PBE optimized geometry; symmetry = Ibam; DFT formation energy = -7.2 kcal/mol of atoms; total energy = -71.5 eV per cell; calculated volume = 19.6 A^3/atom
1.0
5.921 0.000 0.000
2.960 8.136 -0.457
2.960 0.803 8.109
Tm Ga Ag
4 10 6
direct
0.124 0.626 0.126 Tm
0.624 0.126 0.626 Tm
0.876 0.374 0.874 Tm
0.376 0.874 0.374 Tm
0.376 0.267 0.981 Ga
0.876 0.981 0.267 Ga
0.624 0.733 0.019 Ga
0.124 0.019 0.733 Ga
0.494 0.756 0.756 Ga
0.506 0.244 0.244 Ga
0.750 0.500 0.500 Ga
0.250 0.500 0.500 Ga
0.006 0.244 0.244 Ga
0.994 0.756 0.756 Ga
0.372 0.490 0.766 Ag
0.872 0.766 0.490 Ag
0.628 0.510 0.234 Ag
0.128 0.234 0.510 Ag
0.250 0.000 0.000 Ag
0.750 0.000 0.000 Ag

---

Entry 2:
Mn2Tl3AgTe6 PBE optimized geometry; symmetry = C2/m; total energy = -49.4 eV per cell; formation energy without anion corrections = -0.19 eV/atom; calculated volume = 29.0 A^3/atom
1.0
7.248 -0.001 0.003
-3.623 6.278 0.003
-1.206 -2.088 7.659
Mn Tl Ag Te
2 3 1 6
direct
0.331 0.669 0.000 Mn
0.669 0.331 0.000 Mn
0.157 0.843 0.500 Tl
0.843 0.157 0.500 Tl
0.500 0.500 0.500 Tl
0.000 0.000 0.000 Ag
0.934 0.576 0.803 Te
0.707 0.707 0.182 Te
0.066 0.424 0.197 Te
0.576 0.934 0.803 Te
0.293 0.293 0.818 Te
0.424 0.066 0.197 Te